Entry 1:
Density functional theory data (PBE-GGA) for crystalline NaPmPO at its relaxed geometry.

Space group: P4/nmm
Excess energy over the best structure of this formula in the dataset in kJ/mol of formula units: 149

abc: 5.748 5.748 4.968
angles: 90.00 90.00 90.00
Site moments in Bohr magnetons follow the coordinates.
Element x y z (fractional)
Na 0.500 0.000 0.999  0.02
Na 0.000 0.500 0.001  0.02
P 0.000 0.500 0.501  0.23
P 0.500 0.000 0.499  0.23
Pm 0.500 0.500 0.500  -0.03
Pm 0.000 0.000 0.500  -0.03
O 0.500 0.500 0.000  0.30
O 0.000 0.000 0.000  0.30

Entry 2:
Density functional theory data (PBE-GGA) for crystalline NaPrP4O12 at its relaxed geometry.

Raw total energy in hartree per atom: -0.26714
Space group: P2_1/c

abc: 7.179 13.016 12.165
angles: 90.00 125.93 90.00
Element x y z (fractional)
O 0.525 0.630 0.337
O 0.666 0.836 0.423
O 0.189 0.900 0.904
O 0.339 0.395 0.280
O 0.664 0.024 0.380
O 0.339 0.105 0.780
O 0.313 0.784 0.601
O 0.334 0.336 0.077
O 0.690 0.078 0.787
O 0.089 0.361 0.402
O 0.666 0.664 0.923
O 0.796 0.833 0.707
O 0.313 0.716 0.101
O 0.310 0.578 0.713
O 0.811 0.100 0.096
O 0.091 0.986 0.300
O 0.310 0.922 0.213
O 0.204 0.333 0.793
O 0.216 0.694 0.845
O 0.204 0.167 0.293
O 0.475 0.370 0.663
O 0.911 0.639 0.598
O 0.089 0.625 0.164
O 0.911 0.861 0.098
O 0.784 0.194 0.655
O 0.336 0.976 0.620
O 0.687 0.216 0.399
O 0.784 0.306 0.155
O 0.661 0.895 0.220
O 0.909 0.014 0.700
O 0.216 0.806 0.345
O 0.796 0.667 0.207
O 0.664 0.476 0.880
O 0.189 0.600 0.404
O 0.525 0.870 0.837
O 0.909 0.486 0.200
O 0.089 0.875 0.664
O 0.811 0.400 0.596
O 0.091 0.514 0.800
O 0.911 0.375 0.836
O 0.089 0.139 0.902
O 0.690 0.422 0.287
O 0.336 0.524 0.120
O 0.334 0.164 0.577
O 0.475 0.130 0.163
O 0.661 0.605 0.720
O 0.911 0.125 0.336
O 0.687 0.284 0.899
P 0.878 0.386 0.263
P 0.335 0.629 0.189
P 0.001 0.599 0.254
P 0.878 0.114 0.763
P 0.122 0.614 0.737
P 0.586 0.588 0.810
P 0.665 0.371 0.811
P 0.999 0.401 0.746
P 0.586 0.912 0.310
P 0.414 0.412 0.190
P 0.665 0.129 0.311
P 0.001 0.901 0.754
P 0.335 0.871 0.689
P 0.122 0.886 0.237
P 0.999 0.099 0.246
P 0.414 0.088 0.690
Pr 0.460 0.289 0.476
Pr 0.540 0.711 0.524
Pr 0.540 0.789 0.024
Pr 0.460 0.211 0.976
Na 0.933 0.718 0.433
Na 0.067 0.282 0.567
Na 0.933 0.782 0.933
Na 0.067 0.218 0.067

Entry 3:
Density functional theory data (PBE-GGA) for crystalline NaPrPO at its relaxed geometry.

Space group: P4/mmm
Excess energy over the best structure of this formula in the dataset in kJ/mol of formula units: 143

abc: 5.849 5.849 5.002
angles: 90.00 90.00 90.00
Element x y z (fractional)
Pr 0.750 0.250 0.500
Pr 0.250 0.750 0.500
Na 0.250 0.250 0.000
Na 0.750 0.750 0.000
P 0.250 0.250 0.500
P 0.750 0.750 0.500
O 0.250 0.750 0.000
O 0.750 0.250 0.000

Entry 4:
Density functional theory data (PBE-GGA) for crystalline NaPrPO at its relaxed geometry.

Space group: P4/nmm
Excess energy over the best structure of this formula in the dataset in kJ/mol of formula units: 0

abc: 4.012 4.012 10.257
angles: 90.00 90.00 90.00
Element x y z (fractional)
P 0.000 0.500 0.700
P 0.500 0.000 0.300
Na 0.000 0.000 0.500
Na 0.500 0.500 0.500
O 0.500 0.500 0.000
O 0.000 0.000 0.000
Pr 0.000 0.500 0.119
Pr 0.500 0.000 0.881

Entry 5:
Density functional theory data (PBE-GGA) for crystalline NaPrPO at its relaxed geometry.

Space group: Pmc2_1
Excess energy over the best structure of this formula in the dataset in kJ/mol of formula units: 42

abc: 3.814 8.019 6.063
angles: 90.00 90.00 90.00
Element x y z (fractional)
Pr 0.000 0.692 0.428
Pr 0.000 0.308 0.928
P 0.000 0.665 0.917
P 0.000 0.335 0.417
Na 0.500 0.089 0.522
Na 0.500 0.911 0.022
O 0.500 0.166 0.887
O 0.500 0.834 0.387

Entry 6:
Density functional theory data (PBE-GGA) for crystalline NaPrPO at its relaxed geometry.

Space group: P4/nmm
Excess energy over the best structure of this formula in the dataset in kJ/mol of formula units: 143

abc: 5.851 5.851 5.004
angles: 90.00 90.00 90.00
Site moments in Bohr magnetons follow the coordinates.
Element x y z (fractional)
Pr 0.000 0.000 0.500  -0.02
Pr 0.500 0.500 0.500  -0.02
P 0.000 0.500 0.501  0.23
P 0.500 0.000 0.499  0.23
Na 0.000 0.500 0.001  0.02
Na 0.500 0.000 0.999  0.02
O 0.000 0.000 0.000  0.29
O 0.500 0.500 0.000  0.29

Number 1 is which compound?
NaPmPO